Entry 1:
A plane-wave DFT calculation with PBE was carried out for a relaxed structure of CrW2.

Values from the calculation:
Energy relative to the lowest polymorph listed for this composition: 569.3 meV per atom

Cell: 7.370 7.370 7.370 Å, 90.00 90.00 90.00°
Space group Fd-3m (No. 227, origin choice 2)
Asymmetric unit:
1 Cr 0.125 0.125 0.125 (multiplicity 8)
2 W 0.000 0.000 0.500 (multiplicity 16)

---

Entry 2:
A plane-wave DFT calculation with PBE was carried out for a relaxed structure of CrW2.

Values from the calculation:
Energy relative to the lowest polymorph listed for this composition: 592.7 meV per atom

Cell: 2.915 4.781 6.751 Å, 90.00 90.00 90.00°
Space group Immm (No. 71)
Asymmetric unit:
1 Cr 0.000 0.000 0.000 (multiplicity 2)
2 W 0.000 0.500 0.190 (multiplicity 4)

---

Number 1: volume 16.68 Å³/atom. Number 2: volume 15.68 Å³/atom.